# MgW2O4, optimized geometry, DFT PBE with a Hubbard U
# - Symmetry: R3m
# - Raw total energy: -6.80 eV/atom
# - Density: 8.8 g cm⁻³
# - E above lowest polymorph: 213 meV per atom
data_MgW2O4
_chemical_formula_sum 'Mg2 W4 O8'
_cell_length_a 6.487
_cell_length_b 6.487
_cell_length_c 6.487
_cell_angle_alpha 55.30
_cell_angle_beta 55.30
_cell_angle_gamma 55.30
_space_group_name_H-M_alt 'P 1'
_space_group_IT_number 1
loop_
_space_group_symop_operation_xyz
'x,y,z'
loop_
_atom_site_label
_atom_site_type_symbol
_atom_site_fract_x
_atom_site_fract_y
_atom_site_fract_z
Mg1 Mg 0.000 0.000 0.000
Mg2 Mg 0.386 0.386 0.386
W1 W 0.027 0.027 0.466
W2 W 0.027 0.466 0.027
W3 W 0.466 0.027 0.027
W4 W 0.648 0.648 0.648
O1 O 0.233 0.757 0.757
O2 O 0.238 0.238 0.777
O3 O 0.238 0.777 0.238
O4 O 0.267 0.267 0.267
O5 O 0.757 0.233 0.757
O6 O 0.757 0.757 0.233
O7 O 0.775 0.775 0.775
O8 O 0.777 0.238 0.238